The following is a GGA-PBE calculation of an optimized crystal structure of NaLiAs2, from Alexandria.

## Properties
Energy relative to the lowest polymorph listed for this composition = 0.01 eV/f.u.
Energy relative to the elements = -0.386 eV/atom
Electronic total energy = -3.519 eV per atom

Cell: 3.6331 8.6643 11.0742 Å, 90.00 90.00 90.00°
Closest atoms and distances in Å follow each position.
Atoms (fractional coordinates):
As 0.2500 0.7236 0.2923  2 As 2.52, 2 Li 2.61-2.75
As 0.2500 0.7354 0.9466  2 As 2.52, 3 Li 2.76-2.82
As 0.7500 0.7764 0.7923  2 As 2.52, 2 Li 2.61-2.75
As 0.7500 0.7646 0.4466  2 As 2.52, 3 Li 2.76-2.82
As 0.2500 0.2236 0.2077  2 As 2.52, 2 Li 2.61-2.75
As 0.7500 0.2646 0.0534  2 As 2.52, 3 Li 2.76-2.82
As 0.2500 0.2354 0.5534  2 As 2.52, 3 Li 2.76-2.82
As 0.7500 0.2764 0.7077  2 As 2.52, 2 Li 2.61-2.75
Li 0.2500 0.5004 0.1155  5 As 2.61-2.82
Li 0.7500 0.4996 0.8845  5 As 2.61-2.82
Li 0.2500 0.0004 0.3845  5 As 2.61-2.82
Li 0.7500 0.9996 0.6155  5 As 2.61-2.82
Na 0.7500 0.4295 0.3678  7 As 3.03-3.24, 2 Li 3.39
Na 0.2500 0.5705 0.6322  7 As 3.03-3.24, 2 Li 3.39
Na 0.7500 0.9295 0.1322  7 As 3.03-3.24, 2 Li 3.39
Na 0.2500 0.0705 0.8678  7 As 3.03-3.24, 2 Li 3.39